# 1
# PmScInSn

An optimized crystal structure of PmScInSn (GGA-PBE, Alexandria via LeMat-Bulk).

The calculation puts the formation energy at -459 meV/atom. As for the crystal system: cubic. The total magnetic moment comes out at 0.0 μB/cell.

It has space group F-43m (No. 216), with a = 7.450 Å, b = 7.450 Å, c = 7.450 Å, α = 90.00°, β = 90.00° and γ = 90.00°. The inequivalent atoms are Pm at (0.000, 0.000, 0.000), Sc at (0.000, 0.000, 0.500), In at (0.250, 0.250, 0.750) and Sn at (0.250, 0.250, 0.250).



# 2
# TbPmScIn

An optimized crystal structure of TbPmScIn (GGA-PBE, Alexandria via LeMat-Bulk).

The calculation puts the formation energy at -98 meV/atom. The calculation puts the energy above the most stable polymorph in this dataset at 69 meV per atom. As for the crystal system: cubic. The total magnetic moment comes out at 6.3 μB/cell.

It has space group F-43m (No. 216), with a = 7.592 Å, b = 7.592 Å, c = 7.592 Å, α = 90.00°, β = 90.00° and γ = 90.00°. The inequivalent atoms are Tb at (0.000, 0.000, 0.000), Pm at (0.250, 0.250, 0.750), Sc at (0.000, 0.000, 0.500) and In at (0.250, 0.250, 0.250).



# 3
# TbPmScIn

An optimized crystal structure of TbPmScIn (GGA-PBE, Alexandria via LeMat-Bulk).

The calculation puts the formation energy at -167 meV/atom. The calculation puts the energy above the most stable polymorph in this dataset at 0 meV per atom. As for the crystal system: cubic. The total magnetic moment comes out at 4.6 μB/cell.

It has space group F-43m (No. 216), with a = 7.641 Å, b = 7.641 Å, c = 7.641 Å, α = 90.00°, β = 90.00° and γ = 90.00°. The inequivalent atoms are Tb at (0.000, 0.000, 0.000), Pm at (0.000, 0.000, 0.500), Sc at (0.250, 0.250, 0.750) and In at (0.250, 0.250, 0.250).



- Which value of formation energy does entry 3 give?
  -167 meV/atom



- The highest formation energy belongs to which entry?
  number 2



- Which of these has the lowest formation energy?
  PmScInSn